{
  "formula": "SiSbCl2",
  "functional": "SCAN",
  "state": "single point on PBEsol structure",
  "e_above_lowest_polymorph_mev_per_atom": 308,
  "magmom_total_mub_per_cell": 0.0,
  "e_form_raw_mev_per_atom": 334,
  "cell": [[3.102, 0.000, 0.000], [0.000, 4.389, 0.000], [0.000, 0.000, 6.040]],
  "species": ["Si", "Sb", "Cl", "Cl"],
  "fractional_positions": [[0.000, 0.000, 0.000], [0.000, 0.000, 0.500], [0.500, 0.500, 0.246], [0.500, 0.500, 0.754]]
}